VASP calculation (PBE) on an optimized crystal structure of HRh2Au.

Values from the calculation:
DOS(E_F)   15.090 states/eV/cell
E_tot   -0.384 Ry/atom

a = 2.8365 Å, b = 2.8365 Å, c = 20.9898 Å
α = 90.00°, β = 90.00°, γ = 120.00°
Space group R-3m (No. 166, hexagonal axes)
Symmetry-distinct sites (fractional):
H 0.0000 0.0000 0.0000 x3
Rh 0.0000 0.0000 0.2787 x6
Au 0.0000 0.0000 0.5000 x3